# RbBe4Nb2, optimized geometry, DFT GGA-PBE
# total moment = 0.00 μB per cell
# crystal system = tetragonal
# DFT formation energy = 1.89 eV per atom
# mass density = 3.29 g cm⁻³
data_RbBe4Nb2
_chemical_formula_sum 'Rb2 Be8 Nb4'
_space_group_name_H-M_alt 'I 4/m m m'
_space_group_IT_number 139
_space_group_name_Hall '-I 4 2'
_cell_length_a 4.8212
_cell_length_b 4.8212
_cell_length_c 13.3315
_cell_angle_alpha 90.00
_cell_angle_beta 90.00
_cell_angle_gamma 90.00
loop_
_atom_site_label
_atom_site_type_symbol
_atom_site_fract_x
_atom_site_fract_y
_atom_site_fract_z
_atom_site_occupancy
Rb1 Rb 0.0000 0.0000 0.0000 1
Be1 Be 0.0000 0.0000 0.2194 1
Be2 Be 0.0000 0.5000 0.0000 1
Nb1 Nb 0.0000 0.0000 0.4105 1